Density functional theory data (GGA-PBE) for a relaxed Nd6P2Se3N crystal.

Lattice parameters (Å, degrees): 7.053 7.053 7.284 99.34 99.34 119.87
Sites, in units of the cell vectors:
Nd1 0.073 0.385 0.218
Nd2 0.239 0.239 0.778
Nd3 0.385 0.073 0.218
Nd4 0.615 0.927 0.782
Nd5 0.761 0.761 0.222
Nd6 0.927 0.615 0.782
P1 0.334 0.666 0.000
P2 0.666 0.334 0.000
Se1 0.173 0.827 0.500
Se2 0.500 0.500 0.500
Se3 0.827 0.173 0.500
N1 0.000 0.000 0.000

Properties
Density of states at the Fermi level, states/eV/cell: 4.7
Space group: C2/m

Density functional theory data (GGA-PBE) for a relaxed Nd8P3Se4N crystal.

Lattice parameters (Å, degrees): 8.387 8.387 8.387 58.54 58.54 58.54
Sites, in units of the cell vectors:
Nd1 0.244 0.244 0.244
Nd2 0.258 0.730 0.730
Nd3 0.270 0.270 0.742
Nd4 0.270 0.742 0.270
Nd5 0.730 0.258 0.730
Nd6 0.730 0.730 0.258
Nd7 0.742 0.270 0.270
Nd8 0.756 0.756 0.756
P1 0.000 0.000 0.500
P2 0.000 0.500 0.000
P3 0.500 0.000 0.000
Se1 0.000 0.000 0.000
Se2 0.000 0.500 0.500
Se3 0.500 0.000 0.500
Se4 0.500 0.500 0.000
N1 0.500 0.500 0.500

Properties
Density of states at the Fermi level, states/eV/cell: 5.4
Space group: R-3m

Density functional theory data (GGA-PBE) for a relaxed NdSm2P2N6 crystal.

Lattice parameters (Å, degrees): 5.789 5.789 6.106 90.00 90.00 120.00
Sites, in units of the cell vectors:
Nd1 0.000 0.000 0.000
Sm1 0.333 0.667 0.360
Sm2 0.667 0.333 0.640
P1 0.333 0.667 0.820
P2 0.667 0.333 0.180
N1 0.074 0.383 0.757
N2 0.310 0.926 0.757
N3 0.383 0.310 0.243
N4 0.617 0.690 0.757
N5 0.690 0.074 0.243
N6 0.926 0.617 0.243

Properties
Density of states at the Fermi level, states/eV/cell: 3.0
Space group: P-3

Density functional theory data (GGA-PBE) for a relaxed Nd2SnPN5 crystal.

Lattice parameters (Å, degrees): 7.724 7.724 10.189 90.00 90.00 155.98
Sites, in units of the cell vectors:
Nd1 0.116 0.884 0.500
Nd2 0.122 0.878 0.147
Nd3 0.878 0.122 0.647
Nd4 0.884 0.116 0.000
Sn1 0.210 0.790 0.861
Sn2 0.790 0.210 0.361
P1 0.450 0.550 0.253
P2 0.550 0.450 0.753
N1 0.027 0.973 0.834
N2 0.293 0.707 0.505
N3 0.341 0.659 0.225
N4 0.347 0.653 0.830
N5 0.499 0.501 0.112
N6 0.501 0.499 0.612
N7 0.653 0.347 0.330
N8 0.659 0.341 0.725
N9 0.707 0.293 0.005
N10 0.973 0.027 0.334

Properties
Space group: Cmc2_1

Density functional theory data (GGA-PBE) for a relaxed Sr2NdP2N6 crystal.

Lattice parameters (Å, degrees): 7.132 7.132 7.132 47.81 47.81 47.81
Sites, in units of the cell vectors:
Sr1 0.201 0.201 0.201
Sr2 0.799 0.799 0.799
Nd1 0.000 0.000 0.000
P1 0.422 0.422 0.422
P2 0.578 0.578 0.578
N1 0.262 0.735 0.735
N2 0.265 0.265 0.738
N3 0.265 0.738 0.265
N4 0.735 0.262 0.735
N5 0.735 0.735 0.262
N6 0.738 0.265 0.265

Properties
Density of states at the Fermi level, states/eV/cell: 4.8
Space group: R-3m

Density functional theory data (GGA-PBE) for a relaxed SrNd2P2N6 crystal.

Lattice parameters (Å, degrees): 5.633 6.065 6.146 119.50 101.52 101.10
Sites, in units of the cell vectors:
Sr1 0.000 0.000 0.000
Nd1 0.232 0.735 0.445
Nd2 0.768 0.265 0.555
P1 0.358 0.459 0.799
P2 0.642 0.541 0.201
N1 0.205 0.650 0.781
N2 0.297 0.181 0.510
N3 0.315 0.400 0.038
N4 0.685 0.600 0.962
N5 0.703 0.819 0.490
N6 0.795 0.350 0.219

Properties
Density of states at the Fermi level, states/eV/cell: 0.0
Space group: P-1

Density functional theory data (GGA-PBE) for a relaxed NdTc2PN crystal.

Lattice parameters (Å, degrees): 5.902 5.902 7.237 90.00 90.00 142.39
Sites, in units of the cell vectors:
Nd1 0.043 0.957 0.750
Nd2 0.957 0.043 0.250
Tc1 0.331 0.669 0.560
Tc2 0.331 0.669 0.940
Tc3 0.669 0.331 0.060
Tc4 0.669 0.331 0.440
P1 0.232 0.768 0.250
P2 0.768 0.232 0.750
N1 0.500 0.500 0.000
N2 0.500 0.500 0.500

Properties
Density of states at the Fermi level, states/eV/cell: 6.6
Space group: Cmcm

Density functional theory data (GGA-PBE) for a relaxed Nd8Te4P3N crystal.

Lattice parameters (Å, degrees): 8.749 8.749 8.749 57.07 57.07 57.07
Sites, in units of the cell vectors:
Nd1 0.238 0.238 0.238
Nd2 0.253 0.725 0.725
Nd3 0.275 0.275 0.747
Nd4 0.275 0.747 0.275
Nd5 0.725 0.253 0.725
Nd6 0.725 0.725 0.253
Nd7 0.747 0.275 0.275
Nd8 0.762 0.762 0.762
Te1 0.000 0.000 0.000
Te2 0.000 0.500 0.500
Te3 0.500 0.000 0.500
Te4 0.500 0.500 0.000
P1 0.000 0.000 0.500
P2 0.000 0.500 0.000
P3 0.500 0.000 0.000
N1 0.500 0.500 0.500

Properties
Density of states at the Fermi level, states/eV/cell: 5.7
Space group: R-3m

Density functional theory data (GGA-PBE) for a relaxed Nd4Te2PN crystal.

Lattice parameters (Å, degrees): 7.094 4.096 7.634 90.00 108.05 90.00
Sites, in units of the cell vectors:
Nd1 0.216 0.000 0.196
Nd2 0.243 0.500 0.799
Nd3 0.757 0.500 0.201
Nd4 0.784 0.000 0.804
Te1 0.000 0.000 0.500
Te2 0.500 0.500 0.500
P1 0.500 0.000 0.000
N1 0.000 0.500 0.000

Properties
Density of states at the Fermi level, states/eV/cell: 3.3
Space group: P2/m

Density functional theory data (GGA-PBE) for a relaxed Nd6Te3P2N crystal.

Lattice parameters (Å, degrees): 7.183 7.183 7.657 99.03 99.03 119.86
Sites, in units of the cell vectors:
Nd1 0.067 0.378 0.201
Nd2 0.244 0.244 0.792
Nd3 0.378 0.067 0.201
Nd4 0.622 0.933 0.799
Nd5 0.756 0.756 0.208
Nd6 0.933 0.622 0.799
Te1 0.174 0.826 0.500
Te2 0.500 0.500 0.500
Te3 0.826 0.174 0.500
P1 0.334 0.666 0.000
P2 0.666 0.334 0.000
N1 0.000 0.000 0.000

Properties
Density of states at the Fermi level, states/eV/cell: 5.6
Space group: C2/m

Density functional theory data (GGA-PBE) for a relaxed NdThPN crystal.

Lattice parameters (Å, degrees): 4.367 4.367 9.366 90.00 90.00 90.00
Sites, in units of the cell vectors:
Nd1 0.250 0.750 0.000
Nd2 0.750 0.250 0.000
Th1 0.250 0.250 0.391
Th2 0.750 0.750 0.609
P1 0.250 0.250 0.799
P2 0.750 0.750 0.201
N1 0.250 0.750 0.500
N2 0.750 0.250 0.500

Properties
Density of states at the Fermi level, states/eV/cell: 4.4
Space group: P4/nmm

Density functional theory data (GGA-PBE) for a relaxed NdTh2PN5 crystal.

Lattice parameters (Å, degrees): 6.752 6.752 5.631 90.00 90.00 90.00
Sites, in units of the cell vectors:
Nd1 0.000 0.000 0.000
Nd2 0.500 0.500 0.000
Th1 0.179 0.321 0.500
Th2 0.321 0.821 0.500
Th3 0.679 0.179 0.500
Th4 0.821 0.679 0.500
P1 0.000 0.500 0.000
P2 0.500 0.000 0.000
N1 0.000 0.000 0.500
N2 0.131 0.631 0.221
N3 0.131 0.631 0.779
N4 0.369 0.131 0.221
N5 0.369 0.131 0.779
N6 0.500 0.500 0.500
N7 0.631 0.869 0.221
N8 0.631 0.869 0.779
N9 0.869 0.369 0.221
N10 0.869 0.369 0.779

Properties
Density of states at the Fermi level, states/eV/cell: 5.3
Space group: P4/mbm

Density functional theory data (GGA-PBE) for a relaxed NdTiP2N6 crystal.

Lattice parameters (Å, degrees): 6.936 6.936 4.765 92.59 92.59 98.76
Sites, in units of the cell vectors:
Nd1 0.102 0.898 0.750
Nd2 0.898 0.102 0.250
Ti1 0.286 0.714 0.250
Ti2 0.714 0.286 0.750
P1 0.225 0.376 0.699
P2 0.376 0.225 0.199
P3 0.624 0.775 0.801
P4 0.775 0.624 0.301
N1 0.012 0.262 0.753
N2 0.257 0.608 0.827
N3 0.262 0.012 0.253
N4 0.262 0.395 0.356
N5 0.392 0.743 0.673
N6 0.395 0.262 0.856
N7 0.605 0.738 0.144
N8 0.608 0.257 0.327
N9 0.738 0.605 0.644
N10 0.738 0.988 0.747
N11 0.743 0.392 0.173
N12 0.988 0.738 0.247

Properties
Density of states at the Fermi level, states/eV/cell: 4.2
Space group: C2/c

Density functional theory data (GGA-PBE) for a relaxed Nd2TmP2N6 crystal.

Lattice parameters (Å, degrees): 5.703 5.703 6.018 90.00 90.00 120.00
Sites, in units of the cell vectors:
Nd1 0.333 0.667 0.345
Nd2 0.667 0.333 0.655
Tm1 0.000 0.000 0.000
P1 0.333 0.667 0.823
P2 0.667 0.333 0.177
N1 0.087 0.367 0.765
N2 0.280 0.913 0.765
N3 0.367 0.280 0.235
N4 0.633 0.720 0.765
N5 0.720 0.087 0.235
N6 0.913 0.633 0.235

Properties
Density of states at the Fermi level, states/eV/cell: 3.0
Space group: P-3

Density functional theory data (GGA-PBE) for a relaxed NdUPN2 crystal.

Lattice parameters (Å, degrees): 6.597 6.597 6.597 146.49 146.49 48.11
Sites, in units of the cell vectors:
Nd1 0.000 0.000 0.000
U1 0.299 0.299 0.000
P1 0.659 0.659 0.000
N1 0.380 0.880 0.500
N2 0.880 0.380 0.500

Properties
Density of states at the Fermi level, states/eV/cell: 0.3
Space group: I4mm

Density functional theory data (GGA-PBE) for a relaxed Nd2UPN5 crystal.

Lattice parameters (Å, degrees): 6.469 6.469 5.790 90.00 90.00 90.00
Sites, in units of the cell vectors:
Nd1 0.173 0.327 0.000
Nd2 0.327 0.827 0.000
Nd3 0.673 0.173 0.000
Nd4 0.827 0.673 0.000
U1 0.000 0.000 0.500
U2 0.500 0.500 0.500
P1 0.000 0.500 0.500
P2 0.500 0.000 0.500
N1 0.000 0.000 0.000
N2 0.137 0.637 0.294
N3 0.137 0.637 0.706
N4 0.363 0.137 0.294
N5 0.363 0.137 0.706
N6 0.500 0.500 0.000
N7 0.637 0.863 0.294
N8 0.637 0.863 0.706
N9 0.863 0.363 0.294
N10 0.863 0.363 0.706

Properties
Density of states at the Fermi level, states/eV/cell: 8.6
Space group: P4/mbm

Density functional theory data (GGA-PBE) for a relaxed NdVP2N6 crystal.

Lattice parameters (Å, degrees): 7.114 7.114 5.679 106.24 106.24 89.66
Sites, in units of the cell vectors:
Nd1 0.121 0.879 0.750
Nd2 0.879 0.121 0.250
V1 0.229 0.771 0.250
V2 0.771 0.229 0.750
P1 0.227 0.370 0.818
P2 0.370 0.227 0.318
P3 0.630 0.773 0.682
P4 0.773 0.630 0.182
N1 0.014 0.233 0.708
N2 0.202 0.604 0.938
N3 0.233 0.014 0.208
N4 0.282 0.351 0.549
N5 0.351 0.282 0.049
N6 0.396 0.798 0.562
N7 0.604 0.202 0.438
N8 0.649 0.718 0.951
N9 0.718 0.649 0.451
N10 0.767 0.986 0.792
N11 0.798 0.396 0.062
N12 0.986 0.767 0.292

Properties
Space group: C2/c

Density functional theory data (GGA-PBE) for a relaxed NdZn2PN4 crystal.

Lattice parameters (Å, degrees): 5.084 5.084 5.084 118.05 118.05 93.41
Sites, in units of the cell vectors:
Nd1 0.000 0.000 0.000
Zn1 0.250 0.750 0.500
Zn2 0.750 0.250 0.500
P1 0.500 0.500 0.000
N1 0.179 0.553 0.000
N2 0.447 0.447 0.627
N3 0.553 0.179 0.000
N4 0.821 0.821 0.373

Properties
Density of states at the Fermi level, states/eV/cell: 0.0
Space group: I-42m

Density functional theory data (GGA-PBE) for a relaxed Nd2ZnP2N6 crystal.

Lattice parameters (Å, degrees): 5.627 5.627 6.039 90.00 90.00 120.00
Sites, in units of the cell vectors:
Nd1 0.333 0.667 0.304
Nd2 0.667 0.333 0.696
Zn1 0.000 0.000 0.000
P1 0.333 0.667 0.791
P2 0.667 0.333 0.209
N1 0.090 0.357 0.778
N2 0.267 0.910 0.778
N3 0.357 0.267 0.222
N4 0.643 0.733 0.778
N5 0.733 0.090 0.222
N6 0.910 0.643 0.222

Properties
Space group: P-3

ΔE_f (raw) values (in eV/atom) by entry order: -1.684; -1.698; -0.859; -0.616; -0.789; -1.034; -0.824; -1.483; -1.408; -1.463; -1.153; -1.036; -0.714; -0.897; -1.237; -0.680; -0.640; -0.672; -0.422.